UGa3Pt7 | PBE | relaxed

abc: 8.272 9.200 5.593
angles: 90.00 114.22 90.00
Space group C2/m (No. 12)
Symmetry-distinct sites (fractional):
1 U 0.000 0.000 0.000 (multiplicity 2)
2 Ga 0.000 0.274 0.500 (multiplicity 4)
3 Ga 0.000 0.500 0.000 (multiplicity 2)
4 Pt 0.000 0.000 0.500 (multiplicity 2)
5 Pt 0.183 0.274 0.184 (multiplicity 8)
6 Pt 0.186 0.500 0.541 (multiplicity 4)

Properties
calculated formation energy	-11.4	kcal/mol of atoms
DOS(E_F)	20.54	states/eV/cell



CaHfOs2 | PBE | relaxed

abc: 11.426 4.362 7.073
angles: 90.00 99.70 90.00
Space group C2/m (No. 12)
Symmetry-distinct sites (fractional):
1 Ca 0.037 0.000 0.230 (multiplicity 4)
2 Hf 0.241 0.000 0.660 (multiplicity 4)
3 Os 0.104 0.500 0.593 (multiplicity 4)
4 Os 0.207 0.500 0.943 (multiplicity 4)

Properties
calculated formation energy	-1.3	kcal/mol of atoms
DOS(E_F)	11.42	states/eV/cell



KTa2Si | PBE | relaxed

abc: 5.894 9.733 2.779
angles: 90.00 90.00 90.00
Space group Cmmm (No. 65)
Symmetry-distinct sites (fractional):
1 K 0.000 0.000 0.000 (multiplicity 2)
2 Ta 0.250 0.250 0.500 (multiplicity 4)
3 Si 0.000 0.500 0.000 (multiplicity 2)

Properties
uncorrected formation energy	1.246	eV/atom
DOS(E_F)	7.98	states/eV/cell



KTaRu2 | PBE | relaxed

abc: 6.505 6.505 6.505
angles: 90.00 90.00 90.00
Space group F-43m (No. 216)
Symmetry-distinct sites (fractional):
1 K 0.000 0.000 0.000 (multiplicity 4)
2 Ta 0.250 0.250 0.250 (multiplicity 4)
3 Ru 0.000 0.000 0.500 (multiplicity 4)
4 Ru 0.250 0.250 0.750 (multiplicity 4)

Properties
calculated formation energy	29.3	kcal/mol of atoms
DOS(E_F)	19.69	states/eV/cell



MgSn3Ir | PBE | relaxed

abc: 5.194 5.194 5.194
angles: 90.00 90.00 90.00
Space group Pm-3m (No. 221)
Symmetry-distinct sites (fractional):
1 Mg 0.000 0.000 0.000 (multiplicity 1)
2 Sn 0.000 0.500 0.500 (multiplicity 3)
3 Ir 0.500 0.500 0.500 (multiplicity 1)

Properties
calculated formation energy	4.1	kcal/mol of atoms
DOS(E_F)	4.15	states/eV/cell



RbCd2CuGe | PBE | relaxed

abc: 5.266 5.266 4.830
angles: 90.00 90.00 90.00
Space group P4/mmm (No. 123)
Symmetry-distinct sites (fractional):
1 Rb 0.000 0.000 0.000 (multiplicity 1)
2 Cd 0.000 0.500 0.500 (multiplicity 2)
3 Cu 0.500 0.500 0.500 (multiplicity 1)
4 Ge 0.500 0.500 0.000 (multiplicity 1)

Properties
calculated formation energy	3.0	kcal/mol of atoms
DOS(E_F)	1.12	states/eV/cell



- What is the DOS(E_F) in the sixth record?
  1.12 states/eV/cell



- What is the DOS(E_F) in the fifth record?
  4.15 states/eV/cell



- Which value of DOS(E_F) does entry 3 give?
  7.98 states/eV/cell